Density functional theory data (PBE) for a relaxed structure of Sc2AsI.

Lattice parameters (Å, degrees): 6.3349 6.3349 7.7282 65.80 65.80 90.00
Last column: nearest neighbours and their distance in Å.
Fractional positions:
I 0.0000 0.0000 0.0000  4 Sc 2.92
I 0.7500 0.2500 0.5000  4 Sc 2.92
Sc 0.1716 0.6250 0.2500  2 As 2.58
Sc 0.8750 0.8284 0.7500  2 As 2.58
Sc 0.5784 0.1250 0.2500  2 As 2.58
Sc 0.3750 0.4216 0.7500  2 As 2.58
As 0.2500 0.7500 0.5000  4 Sc 2.58
As 0.5000 0.5000 0.0000  4 Sc 2.58

Computed properties:
density of states at the Fermi level	3.6	states/eV/f.u.
SG	I-42d (122)
raw formation energy	-0.599	eV per atom
uncorrected energy	-5.31	eV/atom
size of the total moment	0.0	μB per cell